# PBE+U MnCo2BiO, relaxed
data_MnCo2BiO
_symmetry_space_group_name_H-M 'P 4/m m m'
_symmetry_Int_Tables_number 123
_symmetry_space_group_name_Hall '-P 4 2'
_cell_length_a 5.136
_cell_length_b 5.136
_cell_length_c 3.644
_cell_angle_alpha 90.00
_cell_angle_beta 90.00
_cell_angle_gamma 90.00
loop_
_atom_site_label
_atom_site_type_symbol
_atom_site_fract_x
_atom_site_fract_y
_atom_site_fract_z
_atom_site_occupancy
Mn1 Mn 0.000 0.000 0.000 1
Co1 Co 0.000 0.500 0.000 1
Bi1 Bi 0.500 0.500 0.500 1
O1 O 0.000 0.000 0.500 1
# Fermi-level density of states ... 2.09 states/eV/cell
# DFT total energy ... -4.841 eV per atom